# CdNi2As

Crystalline CdNi2As at its relaxed geometry (GGA-PBE, the Alexandria database).

Results
- Energy: -17.11 eV/cell
- Space group: Cm
- Crystal system: monoclinic
- DFT formation energy: 0.005 eV/atom
- D(E_F): 2.32 states/eV/f.u.

Structure (POSCAR):
```
CdNi2As
1.0
4.176 -1.572 0.000
4.176 1.572 0.000
-0.979 0.000 4.760
Cd Ni As
1 2 1
direct
0.000 0.000 0.000
0.244 0.244 0.731
0.504 0.504 0.503
0.779 0.779 0.396
```


# LaSmSb

Crystalline LaSmSb at its relaxed geometry (GGA-PBE, the Alexandria database).

Results
- Energy: -15.88 eV/cell
- Space group: I4mm
- Raw formation energy: -0.702 eV/atom
- Crystal system: tetragonal
- D(E_F): 3.24 states/eV/f.u.

Structure (POSCAR):
```
LaSmSb
1.0
-2.098 2.098 5.145
2.098 -2.098 5.145
2.098 2.098 -5.145
La Sm Sb
1 1 1
direct
0.000 0.000 0.000
0.699 0.699 0.000
0.340 0.340 0.000
```


What is the energy in the second record?
-15.88 eV/cell


Which formula does entry 1 have?
CdNi2As